1.
The following is a PBE-GGA calculation of CsBi2Au3 after structural relaxation, from Alexandria.

Computed properties:
The density of states at the Fermi level is 0.3045 states/eV/atom. Its total energy is -3.250 eV per atom. As for the space group: C2/m.

Cell: 4.753 11.520 7.712 Å, 107.93 90.00 101.91°
Fractional positions:
Bi1 0.496 0.993 0.241
Cs1 0.867 0.734 0.899
Bi2 0.190 0.381 0.693
Au1 0.393 0.787 0.379
Au2 0.719 0.438 0.521
Cs2 0.133 0.266 0.101
Au3 0.053 0.107 0.429
Bi3 0.504 0.007 0.759
Au4 0.947 0.893 0.571
Au5 0.281 0.562 0.479
Au6 0.607 0.213 0.621
Bi4 0.810 0.619 0.307

2.
The following is a PBE-GGA calculation of CsBiAu3 after structural relaxation, from Alexandria.

Computed properties:
The density of states at the Fermi level is 0.6745 states/eV/atom. Its total energy is -3.055 eV per atom. The energy above the most stable polymorph in this dataset is 0 meV/atom. As for the space group: Pcca.

Cell: 9.067 6.329 12.657 Å, 90.03 90.00 90.00°
Fractional positions:
Bi1 0.750 0.000 0.999
Cs1 0.500 0.278 0.250
Bi2 0.250 0.000 0.001
Au1 0.500 0.265 0.954
Au2 0.500 0.735 0.046
Au3 0.250 0.500 0.000
Cs2 0.000 0.722 0.250
Bi3 0.750 0.000 0.499
Au4 0.000 0.266 0.045
Au5 0.500 0.266 0.545
Au6 0.000 0.734 0.955
Bi4 0.250 0.000 0.501
Au7 0.000 0.265 0.454
Au8 0.750 0.500 0.500
Cs3 0.500 0.722 0.750
Cs4 0.000 0.278 0.750
Au9 0.000 0.735 0.546
Au10 0.500 0.734 0.455
Au11 0.250 0.500 0.500
Au12 0.750 0.500 0.000

3.
The following is a PBE-GGA calculation of Cs2BiAu2 after structural relaxation, from Alexandria.

Computed properties:
The density of states at the Fermi level is 0.6664 states/eV/atom. Its total energy is -2.660 eV per atom. The energy above the most stable polymorph in this dataset is 63 meV/atom. As for the space group: P4/mbm.

Cell: 7.806 7.806 5.894 Å, 90.00 90.00 90.00°
Fractional positions:
Au1 0.369 0.869 0.000
Cs1 0.322 0.178 0.500
Au2 0.131 0.369 0.000
Au3 0.869 0.631 0.000
Cs2 0.678 0.822 0.500
Cs3 0.822 0.322 0.500
Bi1 0.000 0.000 0.000
Bi2 0.500 0.500 0.000
Au4 0.631 0.131 0.000
Cs4 0.178 0.678 0.500

4.
The following is a PBE-GGA calculation of Cs4BiAu after structural relaxation, from Alexandria.

Computed properties:
The density of states at the Fermi level is 0.0336 states/eV/atom. Its total energy is -2.093 eV per atom. As for the space group: C2/c.

Cell: 8.213 10.317 10.329 Å, 114.04 106.37 103.39°
Fractional positions:
Bi1 0.611 0.361 0.722
Cs1 0.979 0.753 0.114
Cs2 0.627 0.051 0.347
Cs3 0.373 0.949 0.653
Au1 0.245 0.995 0.989
Au2 0.755 0.005 0.011
Cs4 0.781 0.705 0.653
Cs5 0.365 0.639 0.886
Cs6 0.635 0.361 0.114
Bi2 0.389 0.639 0.278
Cs7 0.219 0.295 0.347
Cs8 0.021 0.247 0.886

5.
The following is a PBE-GGA calculation of CsBiAu3 after structural relaxation, from Alexandria.

Computed properties:
The density of states at the Fermi level is 0.4593 states/eV/atom. Its total energy is -1.660 eV per atom. The energy above the most stable polymorph in this dataset is 1395 meV/atom. As for the space group: Pm-3m.

Cell: 5.853 5.853 5.853 Å, 90.00 90.00 90.00°
Fractional positions:
Au1 0.000 0.500 0.000
Au2 0.500 0.000 0.000
Au3 0.000 0.000 0.500
Bi1 0.500 0.500 0.500
Cs1 0.000 0.000 0.000

6.
The following is a PBE-GGA calculation of Cs5Bi2Au after structural relaxation, from Alexandria.

Computed properties:
Its total energy is -2.318 eV per atom. As for the space group: R-3m.

Cell: 6.636 6.636 11.118 Å, 72.64 72.64 60.00°
Fractional positions:
Au1 0.000 0.000 0.000
Cs1 0.363 0.363 0.911
Cs2 0.216 0.216 0.351
Bi1 0.911 0.911 0.267
Bi2 0.089 0.089 0.733
Cs3 0.637 0.637 0.089
Cs4 0.500 0.500 0.500
Cs5 0.784 0.784 0.649